Arrangement one

DFT (PBEsol) results for a relaxed Rb3Sb crystal.

Geometry as extended XYZ:
```
4
Lattice="6.1709 0.0000 0.0000 3.0855 5.3442 0.0000 3.0855 1.7814 5.0385" Properties=species:S:1:pos:R:3 pbc="T T T"
Sb 6.1709 3.5628 2.5193
Rb 0.0000 0.0000 0.0000
Rb 3.0855 1.7814 1.2596
Rb 9.2564 5.3442 3.7789
```

Calculated values
Symmetry ... No. 225
Theoretical density ... 3.78 g cm⁻³

Arrangement two

DFT (PBEsol) results for a relaxed Rb3Sb crystal.

Geometry as extended XYZ:
```
8
Lattice="6.2716 0.0000 0.0000 -3.1358 5.4314 0.0000 0.0000 0.0000 11.1053" Properties=species:S:1:pos:R:3 pbc="T T T"
Sb 0.0000 3.6209 2.7763
Sb 3.1358 1.8105 8.3290
Rb 0.0000 0.0000 2.7763
Rb 0.0000 0.0000 8.3290
Rb 0.0000 3.6209 10.1951
Rb 3.1358 1.8105 4.6424
Rb 3.1358 1.8105 0.9102
Rb 0.0000 3.6209 6.4629
```

Calculated values
Symmetry ... No. 194
Theoretical density ... 3.32 g cm⁻³

The least stable of them is arrangement one.